Density functional theory data (PBE) for crystalline TaNbAu2 at its relaxed geometry.

a = 6.6287 Å, b = 6.6287 Å, c = 6.6287 Å
α = 90.00°, β = 90.00°, γ = 90.00°
Closest atoms and distances in Å follow each position.
Space group Fm-3m (No. 225)
Symmetry-distinct sites (fractional):
Ta 0.0000 0.0000 0.0000 x4  8 Au 2.87
Nb 0.0000 0.0000 0.5000 x4  8 Au 2.87
Au 0.2500 0.2500 0.2500 x8  4 Ta 2.87, 4 Nb 2.87

Output
- offset from the most stable computed form (meV/atom) = 283